Record 1
## KCa3Pm2Te6 (PBE)

Data for crystalline KCa3Pm2Te6 at its relaxed geometry.

Calculated density in Mg/m³: 5.019
Total moment in μB/atom: 0.00
DOS at the Fermi energy in states/eV/atom: 0.28
Space group: No. 12
E in eV for the cell shown: -53.3

Lattice parameters (Å, degrees): 10.1518 10.1518 9.2253 102.58 102.58 25.71
Closest atoms and distances in Å follow each position.
Positions (direct):
K (0.0000, 0.0000, 0.0000)  6 Te 3.34-3.37
Ca (0.0000, 0.0000, 0.5000)  6 Te 3.12-3.25
Ca (0.3381, 0.3381, 0.1644)  6 Te 3.15-3.25
Ca (0.6619, 0.6619, 0.8356)  6 Te 3.15-3.25
Pm (0.3349, 0.3349, 0.6655)  6 Te 3.14-3.22
Pm (0.6651, 0.6651, 0.3345)  6 Te 3.14-3.22
Te (0.1684, 0.1684, 0.5851)  3 Pm 3.21-3.22, 3 Ca 3.25
Te (0.1747, 0.1747, 0.0929)  3 Ca 3.15-3.25, 2 Pm 3.21, 1 K 3.37
Te (0.4973, 0.4973, 0.7314)  3 Ca 3.12-3.18, 1 Pm 3.14, 2 K 3.34
Te (0.5027, 0.5027, 0.2686)  3 Ca 3.12-3.18, 1 Pm 3.14, 2 K 3.34
Te (0.8253, 0.8253, 0.9071)  3 Ca 3.15-3.25, 2 Pm 3.21, 1 K 3.37
Te (0.8316, 0.8316, 0.4149)  3 Pm 3.21-3.22, 3 Ca 3.25

Record 2
## KCa2Pm3Te6 (PBE)

Data for crystalline KCa2Pm3Te6 at its relaxed geometry.

Calculated density in Mg/m³: 5.490
Total moment in μB/atom: 0.00
DOS at the Fermi energy in states/eV/atom: 0.40
Space group: No. 12
E in eV for the cell shown: -55.7

Lattice parameters (Å, degrees): 10.2273 10.2273 9.2373 104.59 104.59 25.32
Closest atoms and distances in Å follow each position.
Positions (direct):
K (0.0000, 0.0000, 0.0000)  6 Te 3.31-3.33
Ca (0.3340, 0.3340, 0.6686)  6 Te 3.19-3.22
Ca (0.6660, 0.6660, 0.3314)  6 Te 3.19-3.22
Pm (0.0000, 0.0000, 0.5000)  6 Te 3.13-3.23
Pm (0.3361, 0.3361, 0.1686)  6 Te 3.16-3.22
Pm (0.6639, 0.6639, 0.8314)  6 Te 3.16-3.22
Te (0.1674, 0.1674, 0.5827)  3 Ca 3.21-3.22, 3 Pm 3.22-3.23
Te (0.1725, 0.1725, 0.0856)  3 Pm 3.16-3.22, 2 Ca 3.22, 1 K 3.33
Te (0.4991, 0.4991, 0.7357)  3 Pm 3.13-3.18, 1 Ca 3.19, 2 K 3.31
Te (0.5009, 0.5009, 0.2643)  3 Pm 3.13-3.18, 1 Ca 3.19, 2 K 3.31
Te (0.8275, 0.8275, 0.9144)  3 Pm 3.16-3.22, 2 Ca 3.22, 1 K 3.33
Te (0.8326, 0.8326, 0.4173)  3 Ca 3.21-3.22, 3 Pm 3.22-3.23

Record 3
## KCa2Pr (PBE)

Data for crystalline KCa2Pr at its relaxed geometry.

Calculated density in Mg/m³: 2.387
Total moment in μB/atom: 0.00
DOS at the Fermi energy in states/eV/atom: 1.34
E above lowest polymorph in eV per formula unit: 0.00
Formation energy in eV/atom: 0.13
Space group: No. 123

Lattice parameters (Å, degrees): 3.8531 3.8531 12.1887 90.00 90.00 90.00
Closest atoms and distances in Å follow each position.
Positions (direct):
K (0.0000, 0.0000, 0.0000)  4 K 3.85
Ca (0.5000, 0.5000, 0.2848)  4 Pr 3.78, 4 Ca 3.85
Ca (0.5000, 0.5000, 0.7152)  4 Pr 3.78, 4 Ca 3.85
Pr (0.0000, 0.0000, 0.5000)  8 Ca 3.78, 4 Pr 3.85

Record 4
## KCa2Pr (PBE)

Data for crystalline KCa2Pr at its relaxed geometry.

Calculated density in Mg/m³: 2.443
Total moment in μB/atom: 0.00
DOS at the Fermi energy in states/eV/atom: 1.62
E above lowest polymorph in eV per formula unit: 0.03
Formation energy in eV/atom: 0.13
Space group: No. 166

Lattice parameters (Å, degrees): 3.8864 3.8864 40.5523 90.00 90.00 120.00
Closest atoms and distances in Å follow each position.
Positions (direct):
K (0.0000, 0.0000, 0.0000)  6 K 3.89, 6 Ca 4.33
K (0.3333, 0.6667, 0.6667)  6 K 3.89, 6 Ca 4.33
K (0.6667, 0.3333, 0.3333)  6 K 3.89, 6 Ca 4.33
Ca (0.0000, 0.0000, 0.2421)  3 Pr 3.79, 6 Ca 3.89
Ca (0.0000, 0.0000, 0.7579)  3 Pr 3.79, 6 Ca 3.89
Ca (0.3333, 0.6667, 0.4246)  3 Pr 3.79, 6 Ca 3.89
Ca (0.3333, 0.6667, 0.9088)  3 Pr 3.79, 6 Ca 3.89
Ca (0.6667, 0.3333, 0.0912)  3 Pr 3.79, 6 Ca 3.89
Ca (0.6667, 0.3333, 0.5754)  3 Pr 3.79, 6 Ca 3.89
Pr (0.0000, 0.0000, 0.5000)  6 Ca 3.79, 6 Pr 3.89
Pr (0.3333, 0.6667, 0.1667)  6 Ca 3.79, 6 Pr 3.89
Pr (0.6667, 0.3333, 0.8333)  6 Ca 3.79, 6 Pr 3.89

Record 5
## KCa2PrTe4 (PBE)

Data for crystalline KCa2PrTe4 at its relaxed geometry.

Calculated density in Mg/m³: 4.584
Total moment in μB/atom: 0.00
Space group: No. 10
E in eV for the cell shown: -34.3

Lattice parameters (Å, degrees): 7.9261 4.6103 8.0543 90.00 108.49 90.00
Closest atoms and distances in Å follow each position.
Positions (direct):
K (0.0000, 0.0000, 0.0000)  6 Te 3.33-3.40
Ca (0.5000, 0.0000, 0.5000)  6 Te 3.15-3.17
Ca (0.5000, 0.5000, 0.0000)  6 Te 3.27-3.30
Pr (0.0000, 0.5000, 0.5000)  6 Te 3.22-3.27
Te (0.2546, 0.0000, 0.7410)  3 Ca 3.15-3.30, 2 Pr 3.27, 1 K 3.33
Te (0.2655, 0.5000, 0.2694)  3 Ca 3.17-3.27, 1 Pr 3.22, 2 K 3.40
Te (0.7345, 0.5000, 0.7306)  3 Ca 3.17-3.27, 1 Pr 3.22, 2 K 3.40
Te (0.7454, 0.0000, 0.2590)  3 Ca 3.15-3.30, 2 Pr 3.27, 1 K 3.33

Record 6
## KCaPr2Te4 (PBE)

Data for crystalline KCaPr2Te4 at its relaxed geometry.

Calculated density in Mg/m³: 5.184
Total moment in μB/atom: 0.00
DOS at the Fermi energy in states/eV/atom: 0.37
Space group: No. 10
E in eV for the cell shown: -36.8

Lattice parameters (Å, degrees): 7.9472 4.5536 8.1372 90.00 108.58 90.00
Closest atoms and distances in Å follow each position.
Positions (direct):
K (0.0000, 0.0000, 0.0000)  6 Te 3.33-3.36
Ca (0.5000, 0.5000, 0.0000)  6 Te 3.26-3.27
Pr (0.0000, 0.5000, 0.5000)  6 Te 3.26-3.28
Pr (0.5000, 0.0000, 0.5000)  6 Te 3.19-3.20
Te (0.2564, 0.0000, 0.7465)  3 Pr 3.20-3.28, 2 Ca 3.26, 1 K 3.33
Te (0.2625, 0.5000, 0.2629)  3 Pr 3.19-3.26, 1 Ca 3.27, 2 K 3.36
Te (0.7375, 0.5000, 0.7371)  3 Pr 3.19-3.26, 1 Ca 3.27, 2 K 3.36
Te (0.7436, 0.0000, 0.2535)  3 Pr 3.20-3.28, 2 Ca 3.26, 1 K 3.33

Record 7
## KCaPt2 (PBE)

Data for crystalline KCaPt2 at its relaxed geometry.

Calculated density in Mg/m³: 8.935
Total moment in μB/atom: 0.00
DOS at the Fermi energy in states/eV/atom: 0.60
Formation energy in eV/atom: -0.18
Space group: No. 123

Lattice parameters (Å, degrees): 4.5402 4.5402 4.2315 90.00 90.00 90.00
Closest atoms and distances in Å follow each position.
Positions (direct):
K (0.0000, 0.0000, 0.0000)  8 Pt 3.10, 4 Ca 3.21
Ca (0.5000, 0.5000, 0.0000)  8 Pt 3.10, 4 K 3.21
Pt (0.0000, 0.5000, 0.5000)  4 K 3.10, 4 Ca 3.10, 4 Pt 3.21
Pt (0.5000, 0.0000, 0.5000)  4 K 3.10, 4 Ca 3.10, 4 Pt 3.21

Record 8
## KCa2Pt (PBE)

Data for crystalline KCa2Pt at its relaxed geometry.

Calculated density in Mg/m³: 3.510
Total moment in μB/atom: 0.00
DOS at the Fermi energy in states/eV/atom: 0.86
E above lowest polymorph in eV per formula unit: 0.60
Formation energy in eV/atom: -0.30
Space group: No. 99

Lattice parameters (Å, degrees): 4.0395 4.0395 9.1124 90.00 90.00 90.00
Closest atoms and distances in Å follow each position.
Positions (direct):
K (0.0000, 0.0000, 0.0000)  1 Ca 3.42
Ca (0.0000, 0.0000, 0.3754)  4 Pt 2.91
Ca (0.5000, 0.5000, 0.6316)  1 Pt 2.87
Pt (0.5000, 0.5000, 0.3172)  5 Ca 2.87-2.91

Record 9
## KCa3Pt (PBE)

Data for crystalline KCa3Pt at its relaxed geometry.

Calculated density in Mg/m³: 3.071
Total moment in μB/atom: 0.00
DOS at the Fermi energy in states/eV/atom: 0.73
E above lowest polymorph in eV per formula unit: 0.00
Formation energy in eV/atom: -0.42
Space group: No. 221

Lattice parameters (Å, degrees): 5.7655 5.7655 5.7655 90.00 90.00 90.00
Closest atoms and distances in Å follow each position.
Positions (direct):
K (0.0000, 0.0000, 0.0000)  12 Ca 4.08
Ca (0.0000, 0.5000, 0.5000)  2 Pt 2.88
Ca (0.5000, 0.0000, 0.5000)  2 Pt 2.88
Ca (0.5000, 0.5000, 0.0000)  2 Pt 2.88
Pt (0.5000, 0.5000, 0.5000)  6 Ca 2.88

Record 10
## KCa2Pt (PBE)

Data for crystalline KCa2Pt at its relaxed geometry.

Calculated density in Mg/m³: 4.437
Total moment in μB/atom: 0.00
DOS at the Fermi energy in states/eV/atom: 0.99
E above lowest polymorph in eV per formula unit: 2.06
Formation energy in eV/atom: 0.06
Space group: No. 216

Lattice parameters (Å, degrees): 7.7781 7.7781 7.7781 90.00 90.00 90.00
Closest atoms and distances in Å follow each position.
Positions (direct):
K (0.0000, 0.0000, 0.0000)  4 Pt 3.37, 4 Ca 3.37
K (0.0000, 0.5000, 0.5000)  4 Pt 3.37, 4 Ca 3.37
K (0.5000, 0.0000, 0.5000)  4 Pt 3.37, 4 Ca 3.37
K (0.5000, 0.5000, 0.0000)  4 Pt 3.37, 4 Ca 3.37
Ca (0.0000, 0.0000, 0.5000)  4 Ca 3.37, 4 Pt 3.37
Ca (0.0000, 0.5000, 0.0000)  4 Ca 3.37, 4 Pt 3.37
Ca (0.2500, 0.2500, 0.7500)  4 K 3.37, 4 Ca 3.37
Ca (0.2500, 0.7500, 0.2500)  4 K 3.37, 4 Ca 3.37
Ca (0.5000, 0.0000, 0.0000)  4 Ca 3.37, 4 Pt 3.37
Ca (0.5000, 0.5000, 0.5000)  4 Ca 3.37, 4 Pt 3.37
Ca (0.7500, 0.2500, 0.2500)  4 K 3.37, 4 Ca 3.37
Ca (0.7500, 0.7500, 0.7500)  4 K 3.37, 4 Ca 3.37
Pt (0.2500, 0.2500, 0.2500)  4 Ca 3.37, 4 K 3.37
Pt (0.2500, 0.7500, 0.7500)  4 K 3.37, 4 Ca 3.37
Pt (0.7500, 0.2500, 0.7500)  4 K 3.37, 4 Ca 3.37
Pt (0.7500, 0.7500, 0.2500)  4 K 3.37, 4 Ca 3.37

Record 11
## KCa2Pt (PBE)

Data for crystalline KCa2Pt at its relaxed geometry.

Calculated density in Mg/m³: 4.448
Total moment in μB/atom: 0.00
DOS at the Fermi energy in states/eV/atom: 0.59
E above lowest polymorph in eV per formula unit: 1.75
Formation energy in eV/atom: -0.01
Space group: No. 119

Lattice parameters (Å, degrees): 4.7152 4.7152 10.5553 90.00 90.00 90.00
Closest atoms and distances in Å follow each position.
Positions (direct):
K (0.0000, 0.0000, 0.0000)  8 Ca 3.33-3.54, 4 Pt 3.54
K (0.5000, 0.5000, 0.5000)  8 Ca 3.33-3.54, 4 Pt 3.54
Ca (0.0000, 0.0000, 0.5000)  4 K 3.33, 4 Ca 3.54, 4 Pt 3.54
Ca (0.0000, 0.5000, 0.2500)  4 Pt 3.33, 4 K 3.54, 4 Ca 3.54
Ca (0.5000, 0.0000, 0.7500)  4 Pt 3.33, 4 K 3.54, 4 Ca 3.54
Ca (0.5000, 0.5000, 0.0000)  4 K 3.33, 4 Ca 3.54, 4 Pt 3.54
Pt (0.0000, 0.5000, 0.7500)  8 Ca 3.33-3.54, 4 K 3.54
Pt (0.5000, 0.0000, 0.2500)  8 Ca 3.33-3.54, 4 K 3.54

Record 12
## KCa2Pt (PBE)

Data for crystalline KCa2Pt at its relaxed geometry.

Calculated density in Mg/m³: 3.205
Total moment in μB/atom: 0.00
DOS at the Fermi energy in states/eV/atom: 0.72
E above lowest polymorph in eV per formula unit: 0.00
Formation energy in eV/atom: -0.45
Space group: No. 12

Lattice parameters (Å, degrees): 7.4427 4.2952 10.4709 90.00 103.30 90.00
Closest atoms and distances in Å follow each position.
Positions (direct):
K (0.0000, 0.0000, 0.0000)  6 K 4.30, 6 Ca 4.40-4.43
K (0.5000, 0.5000, 0.0000)  6 K 4.30, 6 Ca 4.40-4.43
Ca (0.2122, 0.0000, 0.6406)  3 Pt 2.86
Ca (0.2878, 0.5000, 0.3594)  3 Pt 2.86
Ca (0.7122, 0.5000, 0.6406)  3 Pt 2.86
Ca (0.7878, 0.0000, 0.3594)  3 Pt 2.86
Pt (0.0000, 0.5000, 0.5000)  6 Ca 2.86
Pt (0.5000, 0.0000, 0.5000)  6 Ca 2.86